Entry from Alexandria via LeMat-Bulk: crystalline YCdIn2 at its relaxed geometry (GGA-PBE).

```
YCdIn2
1.0
4.559 0.000 0.000
0.000 4.559 0.000
0.000 0.000 9.756
Y Cd In
2 2 4
Direct
0.000 0.000 0.000
0.500 0.500 0.500
0.000 0.000 0.500
0.500 0.500 0.000
0.000 0.500 0.250
0.000 0.500 0.750
0.500 0.000 0.250
0.500 0.000 0.750
```

Summary:
* VASP energy: -3.4842 eV/atom
* energy of formation from the pure elements: -270 meV/atom
* space group: I4/mmm (139)


Entry from Alexandria via LeMat-Bulk: crystalline YCdIn2 at its relaxed geometry (GGA-PBE).

```
YCdIn2
1.0
3.951 0.000 0.000
0.000 3.951 0.000
0.000 0.000 6.660
Y Cd In
1 1 2
Direct
0.000 0.000 0.000
0.500 0.500 0.261
0.000 0.000 0.496
0.500 0.500 0.746
```

Summary:
* VASP energy: -3.4239 eV/atom
* energy of formation from the pure elements: -210 meV/atom
* space group: P4mm (99)


Entry from Alexandria via LeMat-Bulk: crystalline Y4Cd3In2 at its relaxed geometry (GGA-PBE).

```
Y4Cd3In2
1.0
4.488 -2.593 0.000
4.488 2.593 0.000
-0.012 0.000 10.221
Y Cd In
4 3 2
Direct
0.000 0.000 0.173
0.000 0.000 0.827
0.333 0.333 0.384
0.667 0.667 0.616
0.000 0.000 0.500
0.333 0.333 0.028
0.667 0.667 0.972
0.334 0.334 0.707
0.666 0.666 0.293
```

Summary:
* VASP energy: -4.1366 eV/atom
* energy of formation from the pure elements: -350 meV/atom
* space group: C2/m (12)


Entry from Alexandria via LeMat-Bulk: crystalline YZnCdIn at its relaxed geometry (GGA-PBE).

```
YZnCdIn
1.0
7.122 0.000 0.000
0.000 7.122 0.000
0.000 0.000 7.122
Y Zn Cd In
4 4 4 4
Direct
0.000 0.000 0.000
0.000 0.500 0.500
0.500 0.000 0.500
0.500 0.500 0.000
0.250 0.250 0.750
0.250 0.750 0.250
0.750 0.250 0.250
0.750 0.750 0.750
0.250 0.250 0.250
0.250 0.750 0.750
0.750 0.250 0.750
0.750 0.750 0.250
0.000 0.000 0.500
0.000 0.500 0.000
0.500 0.000 0.000
0.500 0.500 0.500
```

Summary:
* VASP energy: -3.0864 eV/atom
* energy of formation from the pure elements: -239 meV/atom
* space group: F-43m (216)


Entry from Alexandria via LeMat-Bulk: crystalline YZrCdIn at its relaxed geometry (GGA-PBE).

```
YZrCdIn
1.0
7.267 0.000 0.000
0.000 7.267 0.000
0.000 0.000 7.267
Y Zr Cd In
4 4 4 4
Direct
0.000 0.000 0.000
0.000 0.500 0.500
0.500 0.000 0.500
0.500 0.500 0.000
0.000 0.000 0.500
0.000 0.500 0.000
0.500 0.000 0.000
0.500 0.500 0.500
0.250 0.250 0.750
0.250 0.750 0.250
0.750 0.250 0.250
0.750 0.750 0.750
0.250 0.250 0.250
0.250 0.750 0.750
0.750 0.250 0.750
0.750 0.750 0.250
```

Summary:
* VASP energy: -4.9308 eV/atom
* energy of formation from the pure elements: -264 meV/atom
* space group: F-43m (216)


Entry from Alexandria via LeMat-Bulk: crystalline Yb2CdIn at its relaxed geometry (GGA-PBE).

```
Yb2CdIn
1.0
7.598 0.000 0.000
0.000 7.598 0.000
0.000 0.000 7.598
Yb Cd In
8 4 4
Direct
0.250 0.250 0.250
0.250 0.250 0.750
0.250 0.750 0.250
0.250 0.750 0.750
0.750 0.250 0.250
0.750 0.250 0.750
0.750 0.750 0.250
0.750 0.750 0.750
0.000 0.000 0.000
0.000 0.500 0.500
0.500 0.000 0.500
0.500 0.500 0.000
0.000 0.000 0.500
0.000 0.500 0.000
0.500 0.000 0.000
0.500 0.500 0.500
```

Summary:
* VASP energy: -2.1544 eV/atom
* energy of formation from the pure elements: -478 meV/atom
* space group: Fm-3m (225)


Entry from Alexandria via LeMat-Bulk: crystalline YbCdIn at its relaxed geometry (GGA-PBE).

```
YbCdIn
1.0
4.978 0.000 0.000
-2.489 4.311 0.000
0.000 0.000 7.378
Yb Cd In
2 2 2
Direct
0.000 0.000 0.244
0.000 0.000 0.756
0.333 0.667 0.984
0.667 0.333 0.016
0.333 0.667 0.539
0.667 0.333 0.461
```

Summary:
* VASP energy: -2.1008 eV/atom
* energy of formation from the pure elements: -374 meV/atom
* space group: P-3m1 (164)


Entry from Alexandria via LeMat-Bulk: crystalline ZnCd2In2 at its relaxed geometry (GGA-PBE).

```
ZnCd2In2
1.0
4.132 0.000 0.000
0.000 4.132 0.000
0.000 0.000 15.286
Zn Cd In
2 4 4
Direct
0.000 0.000 0.000
0.500 0.500 0.500
0.000 0.500 0.250
0.000 0.500 0.750
0.500 0.000 0.250
0.500 0.000 0.750
0.000 0.000 0.404
0.000 0.000 0.596
0.500 0.500 0.096
0.500 0.500 0.904
```

Summary:
* VASP energy: -1.5237 eV/atom
* distance to the lowest polymorph of the same formula: 0.135 eV/atom
* energy of formation from the pure elements: 193 meV/atom
* space group: I4/mmm (139)


Entry from Alexandria via LeMat-Bulk: crystalline Zn2CdIn at its relaxed geometry (GGA-PBE).

```
Zn2CdIn
1.0
9.267 0.000 0.000
0.000 3.072 0.000
-1.560 0.000 5.766
Zn Cd In
4 2 2
Direct
0.250 0.000 0.226
0.250 0.500 0.774
0.750 0.000 0.774
0.750 0.500 0.226
0.000 0.500 0.000
0.500 0.000 0.000
0.000 0.000 0.500
0.500 0.500 0.500
```

Summary:
* VASP energy: -1.4502 eV/atom
* distance to the lowest polymorph of the same formula: 0.026 eV/atom
* energy of formation from the pure elements: 100 meV/atom
* space group: C2/m (12)


Entry from Alexandria via LeMat-Bulk: crystalline Zn4Cd8In at its relaxed geometry (GGA-PBE).

```
Zn4Cd8In
1.0
-4.914 4.914 2.847
4.914 -4.914 2.847
4.914 4.914 -2.847
Zn Cd In
4 8 1
Direct
0.000 0.000 0.500
0.000 0.500 0.000
0.500 0.000 0.000
0.500 0.500 0.500
0.000 0.217 0.217
0.000 0.783 0.783
0.157 0.500 0.657
0.217 0.000 0.217
0.500 0.157 0.657
0.500 0.843 0.343
0.783 0.000 0.783
0.843 0.500 0.343
0.500 0.500 0.000
```

Summary:
* VASP energy: -1.1074 eV/atom
* energy of formation from the pure elements: 58 meV/atom
* space group: I4/mmm (139)


Entry from Alexandria via LeMat-Bulk: crystalline ZnCdIn14 at its relaxed geometry (GGA-PBE).

```
ZnCdIn14
1.0
4.628 -5.148 0.000
4.628 5.148 0.000
0.000 0.000 8.803
Zn Cd In
1 1 14
Direct
0.000 0.000 0.000
0.500 0.500 0.000
0.000 0.000 0.500
0.000 0.500 0.000
0.000 0.500 0.500
0.241 0.241 0.235
0.241 0.241 0.765
0.251 0.749 0.246
0.251 0.749 0.754
0.500 0.000 0.000
0.500 0.000 0.500
0.500 0.500 0.500
0.749 0.251 0.246
0.749 0.251 0.754
0.759 0.759 0.235
0.759 0.759 0.765
```

Summary:
* VASP energy: -2.4997 eV/atom
* energy of formation from the pure elements: 33 meV/atom
* space group: Cmmm (65)


Entry from Alexandria via LeMat-Bulk: crystalline ZnCd11In17 at its relaxed geometry (GGA-PBE).

```
ZnCd11In17
1.0
5.681 -8.048 0.000
5.681 8.048 0.000
-5.672 0.000 8.012
Zn Cd In
1 11 17
Direct
0.000 0.000 0.000
0.179 0.365 0.177
0.185 0.561 0.997
0.365 0.179 0.177
0.368 0.993 0.615
0.374 0.561 0.807
0.561 0.185 0.997
0.561 0.374 0.807
0.806 0.994 0.432
0.820 0.820 0.641
0.993 0.368 0.615
0.994 0.806 0.432
0.180 0.875 0.211
0.183 0.590 0.496
0.184 0.184 0.472
0.184 0.848 0.808
0.187 0.187 0.810
0.466 0.774 0.399
0.494 0.902 0.118
0.495 0.495 0.523
0.527 0.527 0.146
0.590 0.183 0.496
0.594 0.876 0.808
0.774 0.466 0.399
0.784 0.784 0.087
0.848 0.184 0.808
0.875 0.180 0.211
0.876 0.594 0.808
0.902 0.494 0.118
```

Summary:
* VASP energy: -1.9721 eV/atom
* energy of formation from the pure elements: 24 meV/atom
* space group: Cm (8)